This record from the Alexandria database describes a relaxed RbTl2PbAu crystal. The functional is PBE-GGA.

## Properties
size of the total moment = 0.00 μB/f.u.
E_tot = -26.67 eV for the cell shown
formation energy = -130 meV per atom

Cell and atoms, written as CIF:
```
data_RbTl2PbAu
_cell_length_a 5.9931
_cell_length_b 8.1036
_cell_length_c 7.0199
_cell_angle_alpha 90.00
_cell_angle_beta 90.00
_cell_angle_gamma 90.00
_space_group_name_H-M_alt 'P 1'
_space_group_IT_number 1
_space_group_name_Hall 'P 1'
loop_
_atom_site_label
_atom_site_fract_x
_atom_site_fract_y
_atom_site_fract_z
Rb1 0.2500 0.0000 0.2393
Rb2 0.7500 0.0000 0.7607
Tl1 0.2500 0.2675 0.7340
Tl2 0.2500 0.7325 0.7340
Tl3 0.7500 0.2675 0.2660
Tl4 0.7500 0.7325 0.2660
Pb1 0.2500 0.5000 0.3567
Pb2 0.7500 0.5000 0.6433
Au1 0.0000 0.5000 0.0000
Au2 0.5000 0.5000 0.0000
```